Here is a PBEsol-optimized structure of Re3P from the Alexandria database. Energies are from SCAN.

Values from the calculation:
total moment	0.00	μB per atom
energy above the most stable polymorph in this dataset	0.827	eV per atom
Fermi-level density of states	5.12	states/eV/f.u.
calculated formation energy	716	meV/atom

Cell lengths 3.8207, 3.8207, 3.8207 Å; angles 90.00, 90.00, 90.00 degrees
Element x y z (fractional)
Re: 0.0000 0.0000 0.5000
Re: 0.0000 0.5000 0.0000
Re: 0.5000 0.0000 0.0000
P: 0.5000 0.5000 0.5000

Here is a PBEsol-optimized structure of Sr3SmRhO6 from the Alexandria database. Energies are from SCAN.

Values from the calculation:
total moment	0.00	μB per atom
Fermi-level density of states	0.00	states/eV/f.u.
total DFT energy (no corrections)	-426.854	eV for the cell shown

Cell lengths 6.7876, 6.7876, 6.7876 Å; angles 91.75, 91.75, 91.75 degrees
Element x y z (fractional)
Sr: 0.1192 0.7500 0.3808
Sr: 0.2500 0.6192 0.8808
Sr: 0.3808 0.1192 0.7500
Sr: 0.6192 0.8808 0.2500
Sr: 0.7500 0.3808 0.1192
Sr: 0.8808 0.2500 0.6192
Sm: 0.2500 0.2500 0.2500
Sm: 0.7500 0.7500 0.7500
Rh: 0.0000 0.0000 0.0000
Rh: 0.5000 0.5000 0.5000
O: 0.0495 0.9145 0.7094
O: 0.0855 0.2906 0.9505
O: 0.2094 0.4145 0.5495
O: 0.2906 0.9505 0.0855
O: 0.4145 0.5495 0.2094
O: 0.4505 0.7906 0.5855
O: 0.5495 0.2094 0.4145
O: 0.5855 0.4505 0.7906
O: 0.7094 0.0495 0.9145
O: 0.7906 0.5855 0.4505
O: 0.9145 0.7094 0.0495
O: 0.9505 0.0855 0.2906

Here is a PBEsol-optimized structure of MgSiSe2 from the Alexandria database. Energies are from SCAN.

Values from the calculation:
total moment	0.00	μB per atom
Fermi-level density of states	0.74	states/eV/f.u.
total DFT energy (no corrections)	-113.326	eV for the cell shown

Cell lengths 7.7757, 7.7757, 7.7757 Å; angles 137.52, 137.52, 61.64 degrees
Element x y z (fractional)
Mg: 0.0000 0.0000 0.0000
Mg: 0.7500 0.2500 0.5000
Si: 0.2500 0.7500 0.5000
Si: 0.5000 0.5000 0.0000
Se: 0.1308 0.6250 0.0058
Se: 0.3750 0.3808 0.5058
Se: 0.6192 0.1250 0.9942
Se: 0.8750 0.8692 0.4942